[1]
## La2NdSc (PBE)

Data for a geometry-optimized La2NdSc structure.

- distance to the lowest polymorph of the same formula (meV/atom) = 75
- energy (eV per formula unit) = -20.50
- space group = Fm-3m (225)
- energy of formation (eV/atom) = 0.11

```
La2NdSc
1.0
0.000 4.061 4.061
4.061 0.000 4.061
4.061 4.061 0.000
La Nd Sc
2 1 1
Direct
0.250 0.250 0.250
0.750 0.750 0.750
0.000 0.000 0.000
0.500 0.500 0.500
```


[2]
## PmErZnCd (PBE)

Data for a geometry-optimized PmErZnCd structure.

- distance to the lowest polymorph of the same formula (meV/atom) = 26
- energy (eV per formula unit) = -12.70
- space group = F-43m (216)
- energy of formation (eV/atom) = -0.30

```
PmErZnCd
1.0
0.000 3.697 3.697
3.697 0.000 3.697
3.697 3.697 0.000
Pm Er Zn Cd
1 1 1 1
Direct
0.000 0.000 0.000
0.500 0.500 0.500
0.250 0.250 0.250
0.750 0.750 0.750
```


Number 1: density 5.79 Mg/m³. Number 2: density 8.05 Mg/m³.